# LaTmSi2Pd2 (PBE, relaxed)
data_LaTmSi2Pd2
_chemical_formula_sum 'La1 Tm1 Si2 Pd2'
_cell_length_a 4.3727
_cell_length_b 4.3727
_cell_length_c 7.3951
_cell_angle_alpha 90.00
_cell_angle_beta 90.00
_cell_angle_gamma 120.00
_symmetry_space_group_name_H-M 'P -3 m 1'
_symmetry_Int_Tables_number 164
_symmetry_space_group_name_Hall '-P 3 2"'
loop_
_atom_site_label
_atom_site_fract_x
_atom_site_fract_y
_atom_site_fract_z
La1 0.0000 0.0000 0.0000
Tm1 0.0000 0.0000 0.5000
Si1 0.3333 0.6667 0.7222
Pd1 0.3333 0.6667 0.3004
# total DFT energy (no corrections): -36.3 eV/cell
# raw formation energy: -21.65 kcal/mol of atoms
# density of states at the Fermi level: 4.2 states/eV per cell
# crystal system: trigonal

***

# BaTl2In (PBE, relaxed)
data_BaTl2In
_chemical_formula_sum 'Ba8 Tl16 In8'
_cell_length_a 5.2240
_cell_length_b 10.5925
_cell_length_c 20.0271
_cell_angle_alpha 90.00
_cell_angle_beta 90.00
_cell_angle_gamma 90.00
_symmetry_space_group_name_H-M 'I m m m'
_symmetry_Int_Tables_number 71
_symmetry_space_group_name_Hall '-I 2 2'
loop_
_atom_site_label
_atom_site_fract_x
_atom_site_fract_y
_atom_site_fract_z
Ba1 0.0000 0.0000 0.2068
Ba2 0.0000 0.2413 0.0000
Tl1 0.0000 0.0000 0.4210
Tl2 0.0000 0.3532 0.1913
Tl3 0.0000 0.5000 0.4282
In1 0.0000 0.2641 0.3506
# ΔH_f (0 K): -116 kJ/mol of formula units
# total DFT energy (no corrections): -84.8 eV/cell
# density of states at the Fermi level: 16.5 states/eV per cell
# crystal system: orthorhombic

***

# Pr6Bi2TeSe3 (PBE, relaxed)
data_Pr6Bi2TeSe3
_chemical_formula_sum 'Pr12 Bi4 Te2 Se6'
_cell_length_a 19.4036
_cell_length_b 4.4223
_cell_length_c 8.9064
_cell_angle_alpha 90.00
_cell_angle_beta 103.90
_cell_angle_gamma 90.00
_symmetry_space_group_name_H-M 'C 1 2/m 1'
_symmetry_Int_Tables_number 12
_symmetry_space_group_name_Hall '-C 2y'
loop_
_atom_site_label
_atom_site_fract_x
_atom_site_fract_y
_atom_site_fract_z
Pr1 0.0052 0.0000 0.2336
Pr2 0.1619 0.5000 0.0950
Pr3 0.1726 0.5000 0.5727
Bi1 0.1659 0.0000 0.8323
Te1 0.0000 0.5000 0.5000
Se1 0.0000 0.5000 0.0000
Se2 0.1666 0.0000 0.3344
# total DFT energy (no corrections): -135.5 eV/cell
# raw formation energy: -34.05 kcal/mol of atoms
# density of states at the Fermi level: 10.6 states/eV per cell
# crystal system: monoclinic

***

# Si2As (PBE, relaxed)
data_Si2As
_chemical_formula_sum 'Si8 As4'
_cell_length_a 6.1793
_cell_length_b 6.1793
_cell_length_c 6.1793
_cell_angle_alpha 90.00
_cell_angle_beta 90.00
_cell_angle_gamma 90.00
_symmetry_space_group_name_H-M 'F m -3 m'
_symmetry_Int_Tables_number 225
_symmetry_space_group_name_Hall '-F 4 2 3'
loop_
_atom_site_label
_atom_site_fract_x
_atom_site_fract_y
_atom_site_fract_z
Si1 0.2500 0.2500 0.2500
As1 0.0000 0.0000 0.0000
# total DFT energy (no corrections): -53.5 eV/cell
# raw formation energy: 16.32 kcal/mol of atoms
# relative energy among the computed polymorphs: 548 meV per atom
# density of states at the Fermi level: 9.3 states/eV per cell
# crystal system: cubic